Compound: LiMnBO3
Source: the Alexandria database
Functional: PBE+U
Structure: relaxed

## Properties
Its offset from the most stable computed form is 52.4 meV/atom.

CIF file:
```
data_LiMnBO3
_chemical_formula_sum 'Li4 Mn4 B4 O12'
_space_group_name_H-M_alt 'P 1 21/c 1'
_space_group_IT_number 14
_space_group_name_Hall '-P 2ybc'
_cell_length_a 5.474
_cell_length_b 8.173
_cell_length_c 7.175
_cell_angle_alpha 90.00
_cell_angle_beta 114.08
_cell_angle_gamma 90.00
loop_
_atom_site_label
_atom_site_type_symbol
_atom_site_fract_x
_atom_site_fract_y
_atom_site_fract_z
_atom_site_occupancy
Li1 Li 0.154 0.057 0.409 1
Mn1 Mn 0.408 0.729 0.266 1
B1 B 0.173 0.126 0.800 1
O1 O 0.087 0.629 0.725 1
O2 O 0.255 0.007 0.698 1
O3 O 0.360 0.246 0.911 1
```